Entry 1:
## In2BiPb8 (PBE)

Data for a geometry-optimized In2BiPb8 structure.

a b c (Å): 15.0714 8.6753 5.9100
angles (deg): 90.00 105.87 90.00
Last column: nearest neighbours and their distance in Å.
Space group C2/m (No. 12)
Symmetry-distinct sites (fractional):
In 0.1319 0.0000 0.0207  1 Bi 3.17, 5 Pb 3.27-3.40
Bi 0.0000 0.0000 0.5000  2 In 3.17, 6 Pb 3.24-3.39
Pb 0.0714 0.3020 0.2806  1 Bi 3.24, 1 In 3.29, 6 Pb 3.33-3.55
Pb 0.1336 0.5000 0.8201  1 In 3.40, 8 Pb 3.44-3.55
Pb 0.2320 0.0000 0.5859  2 In 3.27-3.32, 4 Pb 3.33-3.54, 1 Bi 3.39

**DFT total energy**: -75.41 eV for the cell shown
**Energy relative to the elements**: 0.120 eV per atom
**Energy above the lowest structure with this stoichiometry**: 1.84 kcal/mol of atoms

Entry 2:
## TaTl2W (PBE)

Data for a geometry-optimized TaTl2W structure.

a b c (Å): 6.9187 6.9187 6.9187
angles (deg): 90.00 90.00 90.00
Last column: nearest neighbours and their distance in Å.
Space group F-43m (No. 216)
Symmetry-distinct sites (fractional):
Ta 0.0000 0.0000 0.0000  4 W 3.00, 4 Tl 3.00
Tl 0.0000 0.0000 0.5000  4 Tl 3.00, 4 W 3.00
Tl 0.2500 0.2500 0.7500  4 Ta 3.00, 4 Tl 3.00
W 0.2500 0.2500 0.2500  4 Ta 3.00, 4 Tl 3.00

**DFT total energy**: -100.29 eV for the cell shown
**Energy relative to the elements**: 1.116 eV per atom
**Energy above the lowest structure with this stoichiometry**: 13.87 kcal/mol of atoms

Entry 3:
## Dy2YPb (PBE)

Data for a geometry-optimized Dy2YPb structure.

a b c (Å): 4.2532 12.4812 9.4925
angles (deg): 90.00 90.00 90.00
Last column: nearest neighbours and their distance in Å.
Space group Cmcm (No. 63)
Symmetry-distinct sites (fractional):
Dy 0.0000 0.1329 0.0537  3 Pb 3.17-3.25, 1 Dy 3.47
Y 0.0000 0.4430 0.2500  2 Pb 3.24
Pb 0.0000 0.2526 0.7500  6 Dy 3.17-3.25, 2 Y 3.24

**DFT total energy**: -81.42 eV for the cell shown
**Energy relative to the elements**: -0.244 eV per atom
**Energy above the lowest structure with this stoichiometry**: 0.83 kcal/mol of atoms

Entry 4:
## Be2CoOs2 (PBE)

Data for a geometry-optimized Be2CoOs2 structure.

a b c (Å): 5.4699 5.4699 3.5567
angles (deg): 90.00 90.00 90.00
Last column: nearest neighbours and their distance in Å.
Space group P4/mbm (No. 127)
Symmetry-distinct sites (fractional):
Be 0.1301 0.3699 0.0000  1 Be 2.01, 2 Co 2.14
Co 0.0000 0.0000 0.0000  4 Be 2.14
Os 0.1776 0.6776 0.5000  6 Be 2.32-2.46

**DFT total energy**: -75.20 eV for the cell shown
**Energy relative to the elements**: -0.116 eV per atom
**Energy above the lowest structure with this stoichiometry**: 0.00 kcal/mol of atoms

Entry 5:
## KTePt2 (PBE)

Data for a geometry-optimized KTePt2 structure.

a b c (Å): 5.4098 5.4098 17.3118
angles (deg): 90.00 90.00 90.00
Last column: nearest neighbours and their distance in Å.
Space group I-42d (No. 122)
Symmetry-distinct sites (fractional):
K 0.0000 0.0000 0.0000  8 Pt 3.62-3.82, 4 Te 3.83
Te 0.0000 0.0000 0.5000  4 Pt 2.56
Pt 0.0249 0.2500 0.6250  2 Te 2.56, 2 Pt 2.72

**DFT total energy**: -70.32 eV for the cell shown

Entry 6:
## Np3TeAs2 (PBE)

Data for a geometry-optimized Np3TeAs2 structure.

a b c (Å): 4.7125 13.4285 9.6438
angles (deg): 90.00 90.00 90.00
Last column: nearest neighbours and their distance in Å.
Space group Cmcm (No. 63)
Symmetry-distinct sites (fractional):
Np 0.0000 0.1152 0.2500  4 As 2.74-2.86
Np 0.0000 0.3707 0.0338  3 As 2.81-2.94
Te 0.0000 0.2198 0.7500  8 Np 3.23-3.41, 1 As 3.61
As 0.0000 0.0000 0.0000  6 Np 2.86-2.94
As 0.0000 0.4888 0.7500  4 Np 2.74-2.81

**DFT total energy**: -214.05 eV for the cell shown

Entry 7:
## Pm12Si2Pb5 (PBE)

Data for a geometry-optimized Pm12Si2Pb5 structure.

a b c (Å): 17.6864 8.0473 9.8885
angles (deg): 90.00 105.91 90.00
Last column: nearest neighbours and their distance in Å.
Space group C2/m (No. 12)
Symmetry-distinct sites (fractional):
Pm 0.0051 0.0000 0.2349  2 Si 2.93, 1 Pb 3.26
Pm 0.0134 0.5000 0.8235  2 Si 2.86, 1 Pb 3.14
Pm 0.1432 0.2411 0.5641  4 Pb 3.20-3.30
Pm 0.1664 0.2390 0.0905  1 Si 2.83
Si 0.0000 0.2260 0.0000  6 Pm 2.83-2.93
Pb 0.0000 0.5000 0.5000  6 Pm 3.14-3.21
Pb 0.1858 0.0000 0.8341  7 Pm 3.22-3.28
Pb 0.2066 0.0000 0.3627  7 Pm 3.20-3.44

**DFT total energy**: -184.20 eV for the cell shown

Entry 8:
## TbCoBr (PBE)

Data for a geometry-optimized TbCoBr structure.

a b c (Å): 6.7921 3.9208 11.8910
angles (deg): 90.00 101.21 90.00
Last column: nearest neighbours and their distance in Å.
Space group Cm (No. 8)
Symmetry-distinct sites (fractional):
Tb 0.0000 0.0000 0.0000  6 Co 2.93-2.94, 3 Br 2.98
Tb 0.1090 0.0000 0.3204  6 Co 2.93-2.94, 3 Br 2.98
Co 0.2213 0.5000 0.1602  3 Co 2.26
Co 0.3879 0.0000 0.1602  3 Co 2.26
Br 0.2766 0.0000 0.8339  3 Tb 2.98
Br 0.4987 0.0000 0.4865  3 Tb 2.98

**DFT total energy**: -65.79 eV for the cell shown

Entry 9:
## NiAs2Ru (PBE)

Data for a geometry-optimized NiAs2Ru structure.

a b c (Å): 7.7716 3.0499 5.0030
angles (deg): 90.00 100.41 90.00
Last column: nearest neighbours and their distance in Å.
Space group C2/m (No. 12)
Symmetry-distinct sites (fractional):
Ni 0.0000 0.0000 0.0000  6 As 2.44-2.65
As 0.2415 0.0000 0.7484  3 Ni 2.44-2.65, 3 Ru 2.55-2.56
Ru 0.0000 0.5000 0.5000  6 As 2.55-2.56

**DFT total energy**: -48.78 eV for the cell shown
**Energy relative to the elements**: -0.009 eV per atom
**Energy above the lowest structure with this stoichiometry**: 2.56 kcal/mol of atoms

Entry 10:
## Nd3YAu3 (PBE)

Data for a geometry-optimized Nd3YAu3 structure.

a b c (Å): 9.7346 10.9803 7.3864
angles (deg): 90.00 91.67 90.00
Last column: nearest neighbours and their distance in Å.
Space group C2/m (No. 12)
Symmetry-distinct sites (fractional):
Nd 0.0000 0.1775 0.0000  6 Au 2.97-3.13
Nd 0.0000 0.2567 0.5000  6 Au 3.15-3.21
Nd 0.1492 0.5000 0.8719  3 Au 3.13-3.14
Y 0.2442 0.5000 0.3740  4 Au 2.87-3.17
Au 0.0653 0.0000 0.3140  2 Y 2.92-3.17, 1 Au 3.06, 5 Nd 3.08-3.21
Au 0.2414 0.2592 0.2245  1 Y 2.87, 5 Nd 2.97-3.20

**DFT total energy**: -139.18 eV for the cell shown
**Energy relative to the elements**: -0.599 eV per atom

Entry 11:
## Cd2TcOs (PBE)

Data for a geometry-optimized Cd2TcOs structure.

a b c (Å): 3.0041 4.6529 4.8692
angles (deg): 90.00 90.00 90.00
Last column: nearest neighbours and their distance in Å.
Space group Pmmm (No. 47)
Symmetry-distinct sites (fractional):
Cd 0.0000 0.0000 0.0000  6 Cd 2.77-3.00, 4 Os 2.86
Cd 0.5000 0.5000 0.0000  6 Cd 2.77-3.00, 4 Tc 2.86
Tc 0.0000 0.5000 0.5000  4 Os 2.77, 4 Cd 2.86, 2 Tc 3.00
Os 0.5000 0.0000 0.5000  4 Tc 2.77, 4 Cd 2.86, 2 Os 3.00

**DFT total energy**: -20.85 eV for the cell shown
**Energy relative to the elements**: 0.644 eV per atom
**Energy above the lowest structure with this stoichiometry**: 11.19 kcal/mol of atoms

Entry 12:
## CaWS2 (PBE)

Data for a geometry-optimized CaWS2 structure.

a b c (Å): 5.6213 5.6213 12.2025
angles (deg): 90.00 90.00 90.00
Last column: nearest neighbours and their distance in Å.
Space group I-42d (No. 122)
Symmetry-distinct sites (fractional):
Ca 0.0000 0.0000 0.0000  4 S 2.74
W 0.0000 0.0000 0.5000  4 S 2.31
S 0.1821 0.2500 0.6250  2 W 2.31

**DFT total energy**: -101.65 eV for the cell shown
**Energy above the lowest structure with this stoichiometry**: 0.00 kcal/mol of atoms

- Which value of DFT total energy does entry 7 give?
  -184.20 eV for the cell shown

- DFT total energy of number 2 (TaTl2W)?
  -100.29 eV for the cell shown

What did the eighth record say?
## TbCoBr (PBE)

Data for a geometry-optimized TbCoBr structure.

a b c (Å): 6.7921 3.9208 11.8910
angles (deg): 90.00 101.21 90.00
Last column: nearest neighbours and their distance in Å.
Space group Cm (No. 8)
Symmetry-distinct sites (fractional):
Tb 0.0000 0.0000 0.0000  6 Co 2.93-2.94, 3 Br 2.98
Tb 0.1090 0.0000 0.3204  6 Co 2.93-2.94, 3 Br 2.98
Co 0.2213 0.5000 0.1602  3 Co 2.26
Co 0.3879 0.0000 0.1602  3 Co 2.26
Br 0.2766 0.0000 0.8339  3 Tb 2.98
Br 0.4987 0.0000 0.4865  3 Tb 2.98

**DFT total energy**: -65.79 eV for the cell shown